{"formula": "ZrAgTeO6", "functional": "PBE-GGA", "state": "relaxed", "lattice": [[5.482, 0.000, 0.000], [-2.741, 4.747, 0.000], [0.000, 0.000, 9.499]], "species": ["Zr", "Zr", "Ag", "Ag", "Te", "Te", "O", "O", "O", "O", "O", "O", "O", "O", "O", "O", "O", "O"], "frac_coords": [[0.333, 0.667, 0.250], [0.667, 0.333, 0.750], [0.000, 0.000, 0.000], [0.000, 0.000, 0.500], [0.333, 0.667, 0.750], [0.667, 0.333, 0.250], [0.023, 0.379, 0.638], [0.023, 0.645, 0.862], [0.355, 0.379, 0.862], [0.355, 0.977, 0.638], [0.379, 0.023, 0.138], [0.379, 0.355, 0.362], [0.621, 0.645, 0.638], [0.621, 0.977, 0.862], [0.645, 0.023, 0.362], [0.645, 0.621, 0.138], [0.977, 0.355, 0.138], [0.977, 0.621, 0.362]], "raw_formation_energy_ev_per_atom": -1.431, "m_tot_mub_per_cell": 0.00, "dft_energy_ev_per_atom": -6.35}